Entry 1:
This record from Alexandria via LeMat-Bulk describes LiTmLuPb after structural relaxation. The functional is GGA-PBE.

The structure in POSCAR format:
```
LiTmLuPb
1.0
0.000 3.688 3.688
3.688 0.000 3.688
3.688 3.688 0.000
Li Tm Lu Pb
1 1 1 1
Direct
0.000 0.000 0.000
0.250 0.250 0.250
0.750 0.750 0.750
0.500 0.500 0.500
```

## Properties
Formation energy = -0.1929 eV per atom
Total energy = -3.847 eV/atom
Size of the total moment = 0.0 Bohr magnetons per cell


Entry 2:
This record from Alexandria via LeMat-Bulk describes TaMn2Zn after structural relaxation. The functional is GGA-PBE.

The structure in POSCAR format:
```
TaMn2Zn
1.0
2.780 0.000 0.000
0.000 2.780 0.000
0.000 0.000 6.979
Ta Mn Zn
1 2 1
Direct
0.000 0.000 0.000
0.000 0.000 0.545
0.500 0.500 0.716
0.500 0.500 0.296
```

## Properties
Formation energy = 0.0441 eV per atom
Total energy = -7.822 eV/atom
Size of the total moment = 0.0 Bohr magnetons per cell


Entry 3:
This record from Alexandria via LeMat-Bulk describes Tm2Zn5Pd4 after structural relaxation. The functional is GGA-PBE.

The structure in POSCAR format:
```
Tm2Zn5Pd4
1.0
0.000 4.439 8.533
2.616 0.000 8.533
2.616 4.439 0.000
Tm Zn Pd
2 5 4
Direct
0.137 0.137 0.863
0.863 0.863 0.137
0.000 0.000 0.500
0.250 0.250 0.250
0.500 0.500 0.000
0.500 0.500 0.500
0.750 0.750 0.750
0.209 0.537 0.463
0.463 0.791 0.209
0.537 0.209 0.791
0.791 0.463 0.537
```

## Properties
Formation energy = -0.5963 eV per atom
Total energy = -3.877 eV/atom
Size of the total moment = 0.0 Bohr magnetons per cell


Entry 4:
This record from Alexandria via LeMat-Bulk describes Dy5NiAg4 after structural relaxation. The functional is GGA-PBE.

The structure in POSCAR format:
```
Dy5NiAg4
1.0
3.561 0.000 0.000
0.000 3.561 0.000
0.000 0.000 18.237
Dy Ni Ag
5 1 4
Direct
0.000 0.000 0.000
0.000 0.000 0.206
0.000 0.000 0.412
0.000 0.000 0.588
0.000 0.000 0.794
0.500 0.500 0.500
0.500 0.500 0.103
0.500 0.500 0.307
0.500 0.500 0.693
0.500 0.500 0.897
```

## Properties
Formation energy = -0.3319 eV per atom
Total energy = -4.352 eV/atom
Size of the total moment = 0.0 Bohr magnetons per cell


Entry 5:
This record from Alexandria via LeMat-Bulk describes TbHo8Cd6 after structural relaxation. The functional is GGA-PBE.

The structure in POSCAR format:
```
TbHo8Cd6
1.0
4.470 2.581 6.349
-4.470 2.581 6.349
0.000 -5.162 6.349
Tb Ho Cd
1 8 6
Direct
0.000 0.000 0.000
0.116 0.449 0.783
0.217 0.884 0.551
0.334 0.334 0.334
0.449 0.783 0.116
0.551 0.217 0.884
0.666 0.666 0.666
0.783 0.116 0.449
0.884 0.551 0.217
0.052 0.718 0.387
0.282 0.613 0.948
0.387 0.052 0.718
0.613 0.948 0.282
0.718 0.387 0.052
0.948 0.282 0.613
```

## Properties
Formation energy = -0.0633 eV per atom
Total energy = -3.180 eV/atom
Size of the total moment = 0.0 Bohr magnetons per cell


Entry 6:
This record from Alexandria via LeMat-Bulk describes PrNd2Sm5Sc after structural relaxation. The functional is GGA-PBE.

The structure in POSCAR format:
```
PrNd2Sm5Sc
1.0
8.689 0.000 0.000
0.000 8.689 0.000
0.000 0.000 8.118
Pr Nd Sm Sc
2 4 10 2
Direct
0.000 0.000 0.000
0.500 0.500 0.000
0.121 0.379 0.500
0.379 0.879 0.500
0.621 0.121 0.500
0.879 0.621 0.500
0.000 0.000 0.500
0.209 0.709 0.219
0.209 0.709 0.781
0.291 0.209 0.219
0.291 0.209 0.781
0.500 0.500 0.500
0.709 0.791 0.219
0.709 0.791 0.781
0.791 0.291 0.219
0.791 0.291 0.781
0.000 0.500 0.000
0.500 0.000 0.000
```

## Properties
Formation energy = 0.2665 eV per atom
Total energy = -4.649 eV/atom
Size of the total moment = 0.0 Bohr magnetons per cell


Entry 7:
This record from Alexandria via LeMat-Bulk describes MgCdIr2F after structural relaxation. The functional is GGA-PBE.

The structure in POSCAR format:
```
MgCdIr2F
1.0
5.081 0.000 0.000
0.000 5.081 0.000
0.000 0.000 4.187
Mg Cd Ir F
1 1 2 1
Direct
0.000 0.000 0.000
0.500 0.500 0.500
0.000 0.500 0.500
0.500 0.000 0.500
0.500 0.500 0.000
```

## Properties
Total energy = -3.476 eV/atom
Size of the total moment = 2.0 Bohr magnetons per cell


Entry 8:
This record from Alexandria via LeMat-Bulk describes Mn2TlPb after structural relaxation. The functional is GGA-PBE.

The structure in POSCAR format:
```
Mn2TlPb
1.0
4.584 0.000 0.000
0.000 4.584 0.000
0.000 0.000 4.047
Mn Tl Pb
2 1 1
Direct
0.000 0.500 0.000
0.500 0.000 0.000
0.000 0.000 0.500
0.500 0.500 0.500
```

## Properties
Formation energy = 0.5226 eV per atom
Total energy = -5.581 eV/atom
Size of the total moment = 7.8 Bohr magnetons per cell


Entry 9:
This record from Alexandria via LeMat-Bulk describes SiPtSe2 after structural relaxation. The functional is GGA-PBE.

The structure in POSCAR format:
```
SiPtSe2
1.0
6.428 -1.961 0.000
6.428 1.961 0.000
-0.933 0.000 3.361
Si Pt Se
1 1 2
Direct
0.000 0.000 0.000
0.500 0.500 0.500
0.146 0.146 0.645
0.854 0.854 0.355
```

## Properties
Total energy = -4.693 eV/atom
Size of the total moment = 0.0 Bohr magnetons per cell


Entry 10:
This record from Alexandria via LeMat-Bulk describes Cu2Pb after structural relaxation. The functional is GGA-PBE.

The structure in POSCAR format:
```
Cu2Pb
1.0
1.817 -9.069 0.000
1.817 9.069 0.000
0.000 0.000 3.452
Cu Pb
4 2
Direct
0.050 0.950 0.750
0.447 0.553 0.750
0.553 0.447 0.250
0.950 0.050 0.250
0.179 0.821 0.250
0.821 0.179 0.750
```

## Properties
Formation energy = 0.1383 eV per atom
Total energy = -3.829 eV/atom
Size of the total moment = 0.0 Bohr magnetons per cell


> Among the records above, which one has the highest size of the total moment?

Mn2TlPb


> Look up the total energy of the first one.

-3.847 eV/atom